Record 1
The following is a PBE-GGA calculation of a relaxed SmGa3NiIr crystal, from the Alexandria database.

Lattice parameters (Å, degrees): 5.6017 7.6606 6.5885 125.55 90.00 90.00
Atoms (fractional coordinates):
Sm 0.7500 0.2903 0.5806
Sm 0.2500 0.7097 0.4194
Ga 0.2500 0.1807 0.3614
Ga 0.0000 0.2522 0.0000
Ga 0.5000 0.7478 0.0000
Ga 0.5000 0.2522 0.0000
Ga 0.0000 0.7478 0.0000
Ga 0.7500 0.8193 0.6386
Ni 0.2500 0.9652 0.9304
Ni 0.7500 0.0348 0.0696
Ir 0.2500 0.4085 0.8170
Ir 0.7500 0.5915 0.1830

Values from the calculation:
The value obtained for the formation energy is -0.40 eV per atom. The value obtained for the final energy is -5.141 eV per atom. Its total magnetic moment is 0.00 μB/atom. The crystal system is orthorhombic. The space-group type is Cmcm (63).

***

Record 2
The following is a PBE-GGA calculation of a relaxed SmGa5Ni2Ir crystal, from the Alexandria database.

Lattice parameters (Å, degrees): 4.6454 4.6454 7.0485 90.00 90.00 90.00
Atoms (fractional coordinates):
Sm 0.0000 0.0000 0.5000
Ga 0.0000 0.5000 0.1917
Ga 0.5000 0.0000 0.1917
Ga 0.0000 0.5000 0.8083
Ga 0.5000 0.0000 0.8083
Ga 0.5000 0.5000 0.5000
Ni 0.5000 0.5000 0.1767
Ni 0.5000 0.5000 0.8233
Ir 0.0000 0.0000 0.0000

Values from the calculation:
The value obtained for the formation energy is -0.29 eV per atom. The value obtained for the final energy is -4.764 eV per atom. Its total magnetic moment is 0.00 μB/atom. The crystal system is tetragonal. The space-group type is P4/mmm (123).

***

Record 3
The following is a PBE-GGA calculation of a relaxed SmGa2Ni2Ir crystal, from the Alexandria database.

Lattice parameters (Å, degrees): 4.6892 4.6892 5.3475 90.00 90.00 90.00
Atoms (fractional coordinates):
Sm 0.0000 0.0000 0.5000
Ga 0.5000 0.0000 0.0000
Ga 0.0000 0.5000 0.0000
Ni 0.5000 0.5000 0.7473
Ni 0.5000 0.5000 0.2527
Ir 0.0000 0.0000 0.0000

Values from the calculation:
The value obtained for the formation energy is -0.07 eV per atom. The value obtained for the final energy is -5.267 eV per atom. Its total magnetic moment is 0.00 μB/atom. The crystal system is tetragonal. The space-group type is P4/mmm (123).

***

Record 4
The following is a PBE-GGA calculation of a relaxed Sm2Ga4NiIr3 crystal, from the Alexandria database.

Lattice parameters (Å, degrees): 4.1696 4.1696 10.5336 90.00 90.00 90.00
Atoms (fractional coordinates):
Sm 0.5000 0.0000 0.2572
Sm 0.0000 0.5000 0.7428
Ga 0.5000 0.5000 0.0000
Ga 0.0000 0.0000 0.0000
Ga 0.5000 0.0000 0.6244
Ga 0.0000 0.5000 0.3756
Ni 0.5000 0.5000 0.5000
Ir 0.0000 0.0000 0.5000
Ir 0.5000 0.0000 0.8615
Ir 0.0000 0.5000 0.1385

Values from the calculation:
The value obtained for the formation energy is -0.67 eV per atom. The value obtained for the final energy is -6.063 eV per atom. Its total magnetic moment is 0.00 μB/atom. The crystal system is tetragonal. The space-group type is P-4m2 (115).